1.
K2TlBSe4: optimized geometry, PBE.

The value obtained for the total energy is -29.29 eV per formula unit. The value obtained for the formation energy (no corrections) is -397 kJ/mol of formula units.

a b c (Å): 6.4424 13.7081 24.1795
angles (deg): 90.00 90.00 90.00
Space group Fddd (No. 70, origin choice 2)
Inequivalent atoms, fractional coordinates:
1 K 0.1250 0.1250 0.3121
2 Tl 0.1250 0.1250 0.1250
3 B 0.1250 0.1250 0.6250
4 Se 0.0619 0.2837 0.8249

---

2.
K2UBSe5: optimized geometry, PBE.

The value obtained for the total energy is -44.97 eV per formula unit. The value obtained for the formation energy (no corrections) is -713 kJ/mol of formula units.

a b c (Å): 19.2242 4.0443 14.2114
angles (deg): 90.00 90.07 90.00
Space group Cm (No. 8)
Inequivalent atoms, fractional coordinates:
1 K 0.0000 0.0000 0.0000
2 K 0.0133 0.0000 0.3421
3 K 0.2625 0.5000 0.8428
4 K 0.2761 0.5000 0.5002
5 U 0.0793 0.0000 0.6916
6 U 0.1968 0.5000 0.1920
7 B 0.3095 0.0000 0.0646
8 B 0.4666 0.0000 0.5639
9 Se 0.0625 0.5000 0.1689
10 Se 0.0720 0.5000 0.5485
11 Se 0.0763 0.5000 0.8238
12 Se 0.1997 0.0000 0.3242
13 Se 0.2041 0.0000 0.0489
14 Se 0.2136 0.0000 0.6691
15 Se 0.3363 0.5000 0.1562
16 Se 0.3695 0.0000 0.9555
17 Se 0.4064 0.0000 0.4547
18 Se 0.4398 0.5000 0.6554

---

3.
KSiB: optimized geometry, PBE.

The value obtained for the total energy is -12.90 eV per formula unit. The value obtained for the formation energy (no corrections) is 29 kJ/mol of formula units.

a b c (Å): 3.5293 5.3851 6.1623
angles (deg): 90.00 90.00 90.00
Space group Pmmm (No. 47)
Inequivalent atoms, fractional coordinates:
1 K 0.0000 0.0000 0.0000
2 K 0.5000 0.0000 0.5000
3 Si 0.0000 0.5000 0.3067
4 B 0.5000 0.5000 0.1391

---

4.
KSiB: optimized geometry, PBE.

The value obtained for the total energy is -12.11 eV per formula unit. The value obtained for the formation energy (no corrections) is 105 kJ/mol of formula units.

a b c (Å): 12.1210 3.7870 6.3015
angles (deg): 90.00 107.92 90.00
Space group C2/m (No. 12)
Inequivalent atoms, fractional coordinates:
1 K 0.0927 0.0000 0.3225
2 Si 0.2013 0.0000 0.8787
3 B 0.1659 0.5000 0.8191

---

5.
KSiB2: optimized geometry, PBE.

The value obtained for the total energy is -17.01 eV per formula unit. The value obtained for the formation energy (no corrections) is 277 kJ/mol of formula units.

a b c (Å): 4.5795 4.5795 13.0510
angles (deg): 90.00 90.00 90.00
Space group I4_1/amd (No. 141, origin choice 2)
Inequivalent atoms, fractional coordinates:
1 K 0.0000 0.2500 0.3750
2 Si 0.0000 0.2500 0.8750
3 B 0.0000 0.0000 0.0000

---

6.
KSiB: optimized geometry, PBE.

The value obtained for the total energy is -11.61 eV per formula unit. The value obtained for the formation energy (no corrections) is 153 kJ/mol of formula units.

a b c (Å): 5.0865 5.0865 13.0843
angles (deg): 90.00 90.00 90.00
Space group P4_122 (No. 91)
Inequivalent atoms, fractional coordinates:
1 K 0.0000 0.2634 0.0000
2 Si 0.2486 0.5000 0.2500
3 B 0.4144 0.4144 0.3750

---

7.
KSiB: optimized geometry, PBE.

The value obtained for the total energy is -12.93 eV per formula unit. The value obtained for the formation energy (no corrections) is 25 kJ/mol of formula units.

a b c (Å): 3.5294 3.5294 5.3664
angles (deg): 90.00 90.00 120.00
Space group P-6m2 (No. 187)
Inequivalent atoms, fractional coordinates:
1 K 0.0000 0.0000 0.0000
2 Si 0.6667 0.3333 0.5000
3 B 0.3333 0.6667 0.5000

---

8.
KSiB: optimized geometry, PBE.

The value obtained for the total energy is -12.19 eV per formula unit. The value obtained for the formation energy (no corrections) is 97 kJ/mol of formula units.

a b c (Å): 10.5042 10.5042 6.6477
angles (deg): 90.00 90.00 90.00
Space group I4/mmm (No. 139)
Inequivalent atoms, fractional coordinates:
1 K 0.0000 0.2911 0.0000
2 Si 0.0000 0.2497 0.5000
3 B 0.0825 0.0825 0.5000

---

9.
KSiB: optimized geometry, PBE.

The value obtained for the total energy is -12.49 eV per formula unit. The value obtained for the formation energy (no corrections) is 68 kJ/mol of formula units.

a b c (Å): 3.6044 4.8219 9.5525
angles (deg): 83.59 86.89 75.46
Space group P-1 (No. 2)
Inequivalent atoms, fractional coordinates:
1 K 0.0868 0.2820 0.2761
2 Si 0.4506 0.7329 0.0401
3 B 0.1104 0.0905 0.9311

---

10.
KSiB: optimized geometry, PBE.

The value obtained for the total energy is -12.90 eV per formula unit. The value obtained for the formation energy (no corrections) is 29 kJ/mol of formula units.

a b c (Å): 3.5307 6.1609 10.7709
angles (deg): 90.00 90.00 90.00
Space group Immm (No. 71)
Inequivalent atoms, fractional coordinates:
1 K 0.0000 0.0000 0.2502
2 Si 0.0000 0.3066 0.0000
3 B 0.0000 0.3607 0.5000

---

11.
KSiB: optimized geometry, PBE.

The value obtained for the total energy is -11.72 eV per formula unit. The value obtained for the formation energy (no corrections) is 143 kJ/mol of formula units.

a b c (Å): 6.5572 12.6558 4.1648
angles (deg): 90.00 90.00 90.00
Space group Cmcm (No. 63)
Inequivalent atoms, fractional coordinates:
1 K 0.0000 0.1617 0.2500
2 Si 0.0000 0.3711 0.7500
3 B 0.0000 0.5000 0.0000

---

12.
KSiB: optimized geometry, PBE.

The value obtained for the total energy is -12.09 eV per formula unit. The value obtained for the formation energy (no corrections) is 107 kJ/mol of formula units.

a b c (Å): 3.7524 15.9287 6.6175
angles (deg): 90.00 90.00 90.00
Space group Imm2 (No. 44)
Inequivalent atoms, fractional coordinates:
1 K 0.0000 0.0000 0.0000
2 K 0.0000 0.3059 0.2834
3 Si 0.0000 0.1118 0.3982
4 Si 0.0000 0.5000 0.9383
5 B 0.0000 0.0000 0.5504
6 B 0.0000 0.3811 0.7917